No. 1
Co3Ni3S8: optimized geometry, PBE.

M_tot in μB/cell: 0.0
Offset from the most stable computed form in eV/f.u.: 0.00
VASP energy in eV per atom: -5.560

Structure (CIF):
```
data_Co3Ni3S8
_chemical_formula_sum 'Co9 Ni9 S24'
_cell_length_a 6.6120
_cell_length_b 6.6120
_cell_length_c 16.2807
_cell_angle_alpha 90.00
_cell_angle_beta 90.00
_cell_angle_gamma 120.00
_symmetry_space_group_name_H-M 'R -3 m'
_symmetry_Int_Tables_number 166
_symmetry_space_group_name_Hall '-R 3 2"'
loop_
_atom_site_label
_atom_site_fract_x
_atom_site_fract_y
_atom_site_fract_z
_atom_site_occupancy
Co1 0.0000 0.5000 0.0000 1
Ni1 0.0000 0.0000 0.1254 1
Ni2 0.0000 0.0000 0.5000 1
S1 0.0000 0.0000 0.2599 1
S2 0.0225 0.5113 0.2545 1
```

***

No. 2
NbCo3W: optimized geometry, PBE.

M_tot in μB/cell: 1.9
Energy of formation from the pure elements in eV per formula unit: 6.92
Offset from the most stable computed form in eV/f.u.: 0.00
VASP energy in eV per atom: -7.485

Structure (CIF):
```
data_NbCo3W
_chemical_formula_sum 'Nb1 Co3 W1'
_cell_length_a 4.3752
_cell_length_b 4.3752
_cell_length_c 4.3752
_cell_angle_alpha 90.00
_cell_angle_beta 90.00
_cell_angle_gamma 90.00
_symmetry_space_group_name_H-M 'P m -3 m'
_symmetry_Int_Tables_number 221
_symmetry_space_group_name_Hall '-P 4 2 3'
loop_
_atom_site_label
_atom_site_fract_x
_atom_site_fract_y
_atom_site_fract_z
_atom_site_occupancy
Nb1 0.0000 0.0000 0.0000 1
Co1 0.0000 0.5000 0.5000 1
W1 0.5000 0.5000 0.5000 1
```

***

No. 3
PuGa4Ni2Rh: optimized geometry, PBE.

M_tot in μB/cell: 15.6
Energy of formation from the pure elements in eV per formula unit: -3.32
VASP energy in eV per atom: -6.084

Structure (CIF):
```
data_PuGa4Ni2Rh
_chemical_formula_sum 'Pu3 Ga12 Ni6 Rh3'
_cell_length_a 4.1250
_cell_length_b 4.1250
_cell_length_c 26.4880
_cell_angle_alpha 90.00
_cell_angle_beta 90.00
_cell_angle_gamma 120.00
_symmetry_space_group_name_H-M 'R -3 m'
_symmetry_Int_Tables_number 166
_symmetry_space_group_name_Hall '-R 3 2"'
loop_
_atom_site_label
_atom_site_fract_x
_atom_site_fract_y
_atom_site_fract_z
_atom_site_occupancy
Pu1 0.0000 0.0000 0.0000 1
Ga1 0.0000 0.0000 0.1287 1
Ga2 0.0000 0.0000 0.4018 1
Ni1 0.0000 0.0000 0.2307 1
Rh1 0.0000 0.0000 0.5000 1
```

***

No. 4
Ac2ZnHg: optimized geometry, PBE.

M_tot in μB/cell: 0.0
Energy of formation from the pure elements in eV per formula unit: 0.57
Offset from the most stable computed form in eV/f.u.: 2.02
VASP energy in eV per atom: -2.306

Structure (CIF):
```
data_Ac2ZnHg
_chemical_formula_sum 'Ac6 Zn3 Hg3'
_cell_length_a 3.8846
_cell_length_b 3.8846
_cell_length_c 35.2044
_cell_angle_alpha 90.00
_cell_angle_beta 90.00
_cell_angle_gamma 120.00
_symmetry_space_group_name_H-M 'R -3 m'
_symmetry_Int_Tables_number 166
_symmetry_space_group_name_Hall '-R 3 2"'
loop_
_atom_site_label
_atom_site_fract_x
_atom_site_fract_y
_atom_site_fract_z
_atom_site_occupancy
Ac1 0.0000 0.0000 0.0942 1
Zn1 0.0000 0.0000 0.0000 1
Hg1 0.0000 0.0000 0.5000 1
```

***

No. 5
TaZn3S: optimized geometry, PBE.

M_tot in μB/cell: 0.0
Offset from the most stable computed form in eV/f.u.: 1.58
VASP energy in eV per atom: -2.663

Structure (CIF):
```
data_TaZn3S
_chemical_formula_sum 'Ta1 Zn3 S1'
_cell_length_a 5.0815
_cell_length_b 5.0815
_cell_length_c 5.0815
_cell_angle_alpha 90.00
_cell_angle_beta 90.00
_cell_angle_gamma 90.00
_symmetry_space_group_name_H-M 'P m -3 m'
_symmetry_Int_Tables_number 221
_symmetry_space_group_name_Hall '-P 4 2 3'
loop_
_atom_site_label
_atom_site_fract_x
_atom_site_fract_y
_atom_site_fract_z
_atom_site_occupancy
Ta1 0.0000 0.0000 0.0000 1
Zn1 0.0000 0.0000 0.5000 1
S1 0.5000 0.5000 0.5000 1
```

***

No. 6
Mo3W2: optimized geometry, PBE.

M_tot in μB/cell: 0.0
Energy of formation from the pure elements in eV per formula unit: -0.09
Offset from the most stable computed form in eV/f.u.: 0.00
VASP energy in eV per atom: -11.697

Structure (CIF):
```
data_Mo3W2
_chemical_formula_sum 'Mo6 W4'
_cell_length_a 3.1774
_cell_length_b 3.1774
_cell_length_c 15.8243
_cell_angle_alpha 90.00
_cell_angle_beta 90.00
_cell_angle_gamma 90.00
_symmetry_space_group_name_H-M 'I 4/m m m'
_symmetry_Int_Tables_number 139
_symmetry_space_group_name_Hall '-I 4 2'
loop_
_atom_site_label
_atom_site_fract_x
_atom_site_fract_y
_atom_site_fract_z
_atom_site_occupancy
Mo1 0.0000 0.0000 0.0000 1
Mo2 0.0000 0.0000 0.2002 1
W1 0.0000 0.0000 0.3999 1
```

***

No. 7
SeS4O: optimized geometry, PBE.

M_tot in μB/cell: 0.8
VASP energy in eV per atom: -4.209

Structure (CIF):
```
data_SeS4O
_chemical_formula_sum 'Se2 S8 O2'
_cell_length_a 5.7504
_cell_length_b 6.4597
_cell_length_c 10.6879
_cell_angle_alpha 77.33
_cell_angle_beta 89.71
_cell_angle_gamma 78.73
_symmetry_space_group_name_H-M 'P 1'
_symmetry_Int_Tables_number 1
_symmetry_space_group_name_Hall 'P 1'
loop_
_atom_site_label
_atom_site_fract_x
_atom_site_fract_y
_atom_site_fract_z
_atom_site_occupancy
Se1 0.0000 0.0000 0.0000 1
Se2 0.2325 0.7208 0.4757 1
S1 0.1507 0.1674 0.4157 1
S2 0.1769 0.7055 0.7707 1
S3 0.3024 0.2497 0.5794 1
S4 0.3086 0.7247 0.2771 1
S5 0.5094 0.5750 0.8114 1
S6 0.5369 0.4326 0.0134 1
S7 0.8901 0.3324 0.0461 1
S8 0.9774 0.7691 0.1809 1
O1 0.1364 0.2164 0.6867 1
O2 0.3100 0.2050 0.3063 1
```

***

No. 8
K3RbBr3: optimized geometry, PBE.

M_tot in μB/cell: 0.0
VASP energy in eV per atom: -2.669

Structure (CIF):
```
data_K3RbBr3
_chemical_formula_sum 'K6 Rb2 Br6'
_cell_length_a 9.1469
_cell_length_b 9.1469
_cell_length_c 9.1469
_cell_angle_alpha 90.00
_cell_angle_beta 90.00
_cell_angle_gamma 90.00
_symmetry_space_group_name_H-M 'P m -3 n'
_symmetry_Int_Tables_number 223
_symmetry_space_group_name_Hall '-P 4n 2 3'
loop_
_atom_site_label
_atom_site_fract_x
_atom_site_fract_y
_atom_site_fract_z
_atom_site_occupancy
K1 0.0000 0.2500 0.5000 1
Rb1 0.0000 0.0000 0.0000 1
Br1 0.0000 0.5000 0.2500 1
```

***

No. 9
PrY9Ho2: optimized geometry, PBE.

M_tot in μB/cell: 0.0
Energy of formation from the pure elements in eV per formula unit: 0.31
VASP energy in eV per atom: -5.984

Structure (CIF):
```
data_PrY9Ho2
_chemical_formula_sum 'Pr1 Y9 Ho2'
_cell_length_a 5.0578
_cell_length_b 5.0578
_cell_length_c 15.1790
_cell_angle_alpha 90.00
_cell_angle_beta 90.00
_cell_angle_gamma 90.00
_symmetry_space_group_name_H-M 'P 4/m m m'
_symmetry_Int_Tables_number 123
_symmetry_space_group_name_Hall '-P 4 2'
loop_
_atom_site_label
_atom_site_fract_x
_atom_site_fract_y
_atom_site_fract_z
_atom_site_occupancy
Pr1 0.0000 0.0000 0.0000 1
Y1 0.0000 0.5000 0.1695 1
Y2 0.0000 0.5000 0.5000 1
Y3 0.5000 0.5000 0.0000 1
Y4 0.5000 0.5000 0.3352 1
Ho1 0.0000 0.0000 0.3345 1
```

***

No. 10
TlIn6Te8: optimized geometry, PBE.

M_tot in μB/cell: 0.0
Offset from the most stable computed form in eV/f.u.: 4.16
VASP energy in eV per atom: -2.884

Structure (CIF):
```
data_TlIn6Te8
_chemical_formula_sum 'Tl4 In24 Te32'
_cell_length_a 14.3284
_cell_length_b 14.3284
_cell_length_c 14.3284
_cell_angle_alpha 90.00
_cell_angle_beta 90.00
_cell_angle_gamma 90.00
_symmetry_space_group_name_H-M 'F m -3 m'
_symmetry_Int_Tables_number 225
_symmetry_space_group_name_Hall '-F 4 2 3'
loop_
_atom_site_label
_atom_site_fract_x
_atom_site_fract_y
_atom_site_fract_z
_atom_site_occupancy
Tl1 0.0000 0.0000 0.0000 1
In1 0.0000 0.2500 0.2500 1
Te1 0.1408 0.1408 0.1408 1
```

***

No. 11
Sm4Ho3Er3: optimized geometry, PBE.

M_tot in μB/cell: 0.0
Energy of formation from the pure elements in eV per formula unit: 0.98
VASP energy in eV per atom: -4.532

Structure (CIF):
```
data_Sm4Ho3Er3
_chemical_formula_sum 'Sm8 Ho6 Er6'
_cell_length_a 3.7682
_cell_length_b 13.0801
_cell_length_c 13.0734
_cell_angle_alpha 90.00
_cell_angle_beta 90.00
_cell_angle_gamma 90.00
_symmetry_space_group_name_H-M 'A m m 2'
_symmetry_Int_Tables_number 38
_symmetry_space_group_name_Hall 'A 2 -2'
loop_
_atom_site_label
_atom_site_fract_x
_atom_site_fract_y
_atom_site_fract_z
_atom_site_occupancy
Sm1 0.0000 0.0000 0.0000 1
Sm2 0.0000 0.0000 0.2601 1
Sm3 0.0000 0.1302 0.6299 1
Ho1 0.0000 0.2496 0.3801 1
Ho2 0.5000 0.0000 0.7989 1
Er1 0.5000 0.0000 0.4611 1
Er2 0.5000 0.1689 0.1301 1
```

***

No. 12
Ta3Ti8In3: optimized geometry, PBE.

M_tot in μB/cell: 0.0
Energy of formation from the pure elements in eV per formula unit: 3.44
VASP energy in eV per atom: -7.392

Structure (CIF):
```
data_Ta3Ti8In3
_chemical_formula_sum 'Ta6 Ti16 In6'
_cell_length_a 14.9173
_cell_length_b 4.4257
_cell_length_c 8.6486
_cell_angle_alpha 90.00
_cell_angle_beta 110.55
_cell_angle_gamma 90.00
_symmetry_space_group_name_H-M 'C 1 2/m 1'
_symmetry_Int_Tables_number 12
_symmetry_space_group_name_Hall '-C 2y'
loop_
_atom_site_label
_atom_site_fract_x
_atom_site_fract_y
_atom_site_fract_z
_atom_site_occupancy
Ta1 0.0000 0.0000 0.0000 1
Ta2 0.0084 0.5000 0.7515 1
Ti1 0.1272 0.0000 0.8210 1
Ti2 0.1316 0.0000 0.3282 1
Ti3 0.1501 0.5000 0.5664 1
Ti4 0.2364 0.5000 0.8799 1
In1 0.0000 0.0000 0.5000 1
In2 0.1486 0.5000 0.1232 1
```